## Ce3H2 (PBE-GGA)

Data for a relaxed Ce3H2 crystal.

Structure (POSCAR):
```
Ce3H2
1.0
5.797 0.000 0.000
2.899 5.020 0.000
2.899 1.673 6.058
H Ce
4 6
Cartesian
8.696 5.020 3.075
2.899 1.673 0.046
2.899 1.673 2.983
8.696 5.020 6.012
4.879 5.020 4.544
7.706 3.306 4.544
4.807 1.715 4.544
3.889 3.388 1.515
6.787 4.979 1.515
6.716 1.673 1.515
```

Properties
**Electronic total energy**: -5.11 eV per atom
**Fermi-level density of states**: 21.78 states/eV/cell
**Magnetization**: 0.0 μB/f.u.
**Symmetry**: R-3c